(1)
Material: Ac12Ir5Au3
Method: DFT, PBE
State: optimized geometry

```
80
Lattice="-2.377 5.387 14.577 -13.719 -4.484 -6.232 9.799 -12.284 0.486" Properties=species:S:1:pos:R:3 pbc="T T T"
Ac 5.361 -8.175 2.377
Ac -2.212 -5.686 7.247
Ac -3.349 -11.786 2.291
Ac 3.210 -9.752 6.221
Ac -8.223 -5.358 8.397
Ac -2.948 0.405 6.540
Ac -1.719 -8.932 0.049
Ac 2.718 -3.154 13.058
Ac -11.523 -5.141 -4.324
Ac -8.932 -2.960 -1.095
Ac 1.714 -10.415 2.035
Ac 1.719 -1.921 5.921
Ac 2.359 -11.770 -1.650
Ac -1.681 -11.349 -3.039
Ac -11.657 -3.206 6.454
Ac -14.106 -0.072 6.350
Ac -4.812 -9.088 -2.358
Ac -5.087 -2.285 -0.717
Ac 2.635 -8.421 9.926
Ac -1.485 -2.293 11.189
Ac -8.011 -0.966 6.796
Ac -0.557 -2.918 0.267
Ac -4.578 -2.449 8.782
Ac -0.378 -6.680 3.926
Ac 1.244 -4.510 8.829
Ac -5.919 -4.701 4.905
Ac -5.740 -8.463 8.564
Ac -8.016 -9.460 2.910
Ac -4.085 -5.695 1.584
Ac -4.616 -0.032 11.870
Ac -0.625 -10.499 5.872
Ac -3.058 2.846 9.608
Ac -1.774 -3.044 4.382
Ac -5.672 -0.882 2.959
Ac -8.656 0.389 10.481
Ac -9.015 -8.227 -4.227
Ac -9.507 -1.629 2.610
Ac 5.226 -6.240 13.154
Ac 1.926 -6.023 0.434
Ac -9.385 -5.805 3.295
Ac 0.108 0.614 8.989
Ac -6.405 -11.995 -0.158
Ac -7.541 -6.871 0.002
Ac -1.210 -9.096 9.548
Ac -4.523 -8.337 4.449
Ac 3.088 -5.576 5.536
Ac 7.809 -11.309 2.481
Ac -3.239 -14.227 -0.777
Ir -11.374 -4.112 -1.748
Ir -3.148 -5.691 4.415
Ir -6.912 -7.296 -2.670
Ir 4.900 -6.142 0.243
Ir -1.960 -8.384 -2.873
Ir 0.386 -8.012 1.611
Ir 0.000 0.000 0.000
Ir -3.201 -10.745 4.862
Ir -3.096 -0.636 3.969
Ir 5.077 -7.269 10.579
Ir -1.188 2.694 7.289
Ir 4.743 -7.753 5.052
Ir 3.711 -3.449 7.531
Ir 0.615 -4.085 11.501
Ir -6.683 -3.369 7.220
Ir -8.048 0.452 4.173
Ir -3.305 -7.302 9.224
Ir -11.040 -3.628 3.779
Ir -2.992 -4.079 -0.393
Ir -6.860 -2.242 -3.116
Au -1.345 1.082 12.097
Au -7.016 -3.853 1.693
Au -5.703 0.823 8.657
Au -0.594 -12.204 0.174
Au -7.663 -7.561 5.784
Au -1.241 -2.361 7.735
Au -4.952 -12.463 -3.267
Au 0.719 -7.528 7.138
Au 1.366 -3.820 3.047
Au 4.848 -11.196 0.689
Au -5.056 -9.020 1.096
Au -11.145 -0.185 8.142
```

Results
calculated formation energy	-0.427	eV per atom
total DFT energy (no corrections)	-447.95	eV for the cell shown

(2)
Material: Ac8Ir4Au3
Method: DFT, PBE
State: optimized geometry

```
15
Lattice="7.718 -0.150 -4.218 -4.973 7.304 -0.249 -0.147 0.141 8.837" Properties=species:S:1:pos:R:3 pbc="T T T"
Ir 0.000 0.000 0.000
Ir -2.487 3.652 -0.125
Ir -0.073 0.071 4.419
Ir 3.859 -0.075 -2.109
Au 3.786 -0.004 2.310
Au 1.373 3.577 -2.234
Au 1.299 3.647 2.185
Ac -3.827 5.603 1.908
Ac 0.134 5.703 4.425
Ac 6.391 1.589 -2.142
Ac 2.465 1.591 -0.055
Ac 2.554 1.786 4.546
Ac -1.293 1.842 6.680
Ac 0.045 5.509 -0.176
Ac -3.793 5.706 6.512
```

Results
calculated formation energy	-0.690	eV per atom
total DFT energy (no corrections)	-88.50	eV for the cell shown

(3)
Material: Ac2IrAu
Method: DFT, PBE
State: optimized geometry

```
4
Lattice="3.796 0.000 0.000 0.000 3.796 0.000 0.000 0.000 7.716" Properties=species:S:1:pos:R:3 pbc="T T T"
Au 1.898 1.898 3.858
Ac 0.000 0.000 1.780
Ac 0.000 0.000 5.936
Ir 1.898 1.898 0.000
```

Results
energy above the most stable polymorph in this dataset	133	meV/atom
calculated formation energy	-0.631	eV per atom
total DFT energy (no corrections)	-22.88	eV for the cell shown

(4)
Material: AcIrAu
Method: DFT, PBE
State: optimized geometry

```
6
Lattice="4.842 0.000 0.000 2.421 4.235 0.000 2.421 0.000 8.037" Properties=species:S:1:pos:R:3 pbc="T T T"
Au 4.842 1.398 0.000
Au 2.421 2.838 0.000
Ir 6.053 2.118 4.019
Ir 3.632 2.118 4.019
Ac 2.421 0.000 2.090
Ac 4.842 0.000 5.947
```

Results
energy above the most stable polymorph in this dataset	186	meV/atom
calculated formation energy	-0.464	eV per atom
total DFT energy (no corrections)	-35.28	eV for the cell shown

(5)
Material: AcIrAu
Method: DFT, PBE
State: optimized geometry

```
3
Lattice="4.164 0.000 0.000 0.000 4.596 0.000 0.000 -2.298 3.980" Properties=species:S:1:pos:R:3 pbc="T T T"
Au 0.694 0.000 2.653
Ir 0.694 0.000 0.000
Ac 2.775 2.298 1.327
```

Results
energy above the most stable polymorph in this dataset	168	meV/atom
calculated formation energy	-0.482	eV per atom
total DFT energy (no corrections)	-17.69	eV for the cell shown

(6)
Material: Ac4Ir2Au
Method: DFT, PBE
State: optimized geometry

```
7
Lattice="4.359 0.000 0.633 2.134 3.801 0.633 0.112 0.065 14.549" Properties=species:S:1:pos:R:3 pbc="T T T"
Ac 1.866 1.093 2.474
Ac 5.739 3.360 6.459
Ac 4.738 2.774 13.341
Ac 0.866 0.507 9.357
Ir 2.813 1.647 11.277
Ir 3.792 2.220 4.538
Au 0.000 0.000 0.000
```

Results
energy above the most stable polymorph in this dataset	11	meV/atom
calculated formation energy	-0.695	eV per atom
total DFT energy (no corrections)	-42.30	eV for the cell shown

(7)
Material: AcIrAu
Method: DFT, PBE
State: optimized geometry

```
6
Lattice="4.311 0.000 1.781 1.993 5.736 1.283 -0.041 -0.111 6.206" Properties=species:S:1:pos:R:3 pbc="T T T"
Au 5.021 5.146 3.116
Au 1.242 0.478 6.154
Ir 4.308 3.095 4.842
Ir 1.956 2.530 4.428
Ac 3.152 2.868 1.532
Ac -0.020 -0.056 3.103
```

Results
energy above the most stable polymorph in this dataset	0	meV/atom
calculated formation energy	-0.651	eV per atom
total DFT energy (no corrections)	-36.40	eV for the cell shown

(8)
Material: Ac8Ir3Au2
Method: DFT, PBE
State: optimized geometry

```
13
Lattice="-7.021 -1.759 -1.852 1.822 -8.396 1.068 -0.600 5.275 7.398" Properties=species:S:1:pos:R:3 pbc="T T T"
Au -3.615 -4.845 3.170
Au -2.184 -0.036 3.445
Ac -3.477 -2.400 5.336
Ac 0.523 -3.510 6.599
Ac -1.373 -6.852 1.835
Ac -2.322 -2.481 1.278
Ac -4.425 1.972 4.780
Ac -5.447 -5.574 0.561
Ac -6.322 -1.370 0.016
Ac -0.352 0.694 6.053
Ir 0.464 -2.138 0.272
Ir -3.510 -0.880 -0.926
Ir 1.358 -6.258 0.796
```

Results
calculated formation energy	-0.623	eV per atom
total DFT energy (no corrections)	-74.10	eV for the cell shown

> Among the records above, which one has the lowest calculated formation energy?

Ac4Ir2Au

> What is the total DFT energy (no corrections) in the sixth record?

-42.30 eV for the cell shown

> Among the records above, which one has the lowest total DFT energy (no corrections)?

Ac12Ir5Au3

> Among the records above, which one has the lowest total DFT energy (no corrections)?

Ac12Ir5Au3